Computed, not measured: a relaxed structure of PrMgSn6 at the PBE level of DFT.

Cell and atoms, written as extended XYZ:
```
8
Lattice="4.6705 0.0000 0.0000 0.0000 4.6705 0.0000 0.0000 0.0000 9.8232" Properties=species:S:1:pos:R:3 pbc="T T T"
Pr 0.0000 0.0000 0.0000
Mg 0.0000 0.0000 4.9116
Sn 2.3352 0.0000 7.2793
Sn 2.3352 0.0000 2.5439
Sn 2.3352 2.3352 0.0000
Sn 0.0000 2.3352 2.5439
Sn 2.3352 2.3352 4.9116
Sn 0.0000 2.3352 7.2793
```

Computed properties:
* size of the total moment: 0.000 μB/cell
* raw total energy: -32.440 eV for the cell shown
* calculated formation energy: -0.256 eV/atom
* theoretical density: 6.80 g/cm³

Computed, not measured: a relaxed structure of NaPr6Se8 at the PBE level of DFT.

Cell and atoms, written as extended XYZ:
```
15
Lattice="-3.9325 -4.3191 6.1615 -7.0572 -4.3908 -1.7325 0.1719 -8.4885 0.0090" Properties=species:S:1:pos:R:3 pbc="T T T"
Pr -3.5286 -2.1954 -0.8662
Se -2.6260 -8.5440 1.1170
Se -8.1918 -8.6544 3.3210
Pr -1.9663 -2.1596 3.0808
Se -8.1134 -12.8988 3.3285
Se -4.5870 -10.6977 4.1894
Se -4.6727 -6.4649 4.1850
Na 0.0000 0.0000 0.0000
Pr 0.0860 -4.2442 0.0045
Se -6.1451 -10.7335 0.2531
Pr -5.4949 -4.3549 2.2145
Se -6.2308 -6.5006 0.2486
Se -2.7045 -4.2996 1.1095
Pr -3.4426 -6.4396 -0.8618
Pr -1.8803 -6.4038 3.0853
```

Computed properties:
* size of the total moment: 0.000 μB/cell
* raw total energy: -85.006 eV for the cell shown
* theoretical density: 5.76 g/cm³
* uncorrected formation energy: -1808.9 meV per atom

Which value of raw total energy does entry 1 give?
-32.440 eV for the cell shown